Pm2NpMoO8 | PBE with a Hubbard U | relaxed

Computed properties:
- Electronic total energy: -204.66 eV/cell

Cell: 7.3939 7.1262 6.8898 Å, 90.00 90.91 90.00°
Space group C2/m (No. 12)
Unique sites:
Pm 0.0027 0.0000 0.2587
Np 0.0000 0.5000 0.0000
Mo 0.0000 0.5000 0.5000
O 0.0000 0.2168 0.0000
O 0.0000 0.2177 0.5000
O 0.1745 0.5000 0.7472
O 0.1765 0.5000 0.2422